#a
# BaSi4Pd4, relaxed, DFT PBE-GGA
# - Volume: 17.7 Å³ per atom
# - M_tot: 0.0 μB/f.u.
data_BaSi4Pd4
_chemical_formula_sum 'Ba2 Si8 Pd8'
_cell_length_a 6.124
_cell_length_b 6.124
_cell_length_c 8.518
_cell_angle_alpha 90.00
_cell_angle_beta 90.00
_cell_angle_gamma 90.00
_symmetry_space_group_name_H-M 'P 42/n m c'
_symmetry_Int_Tables_number 137
loop_
_symmetry_equiv_pos_as_xyz
'x,y,z'
'-x,-y,-z'
'-y+1/2,x,z+1/2'
'y+1/2,-x,-z+1/2'
'-x+1/2,-y+1/2,z'
'x+1/2,y+1/2,-z'
'y,-x+1/2,z+1/2'
'-y,x+1/2,-z+1/2'
'x+1/2,-y,-z'
'-x+1/2,y,z'
'-y,-x,-z+1/2'
'y,x,z+1/2'
'-x,y+1/2,-z'
'x,-y+1/2,z'
'y+1/2,x+1/2,-z+1/2'
'-y+1/2,-x+1/2,z+1/2'
loop_
_atom_site_label
_atom_site_fract_x
_atom_site_fract_y
_atom_site_fract_z
Ba1 0.250 0.750 0.250
Si1 0.056 0.250 0.086
Pd1 0.013 0.250 0.378

***

#b
# BaSi4Pd4, relaxed, DFT PBE-GGA
# - Volume: 19.0 Å³ per atom
# - M_tot: 0.0 μB/f.u.
data_BaSi4Pd4
_chemical_formula_sum 'Ba2 Si8 Pd8'
_cell_length_a 9.135
_cell_length_b 9.135
_cell_length_c 4.107
_cell_angle_alpha 90.00
_cell_angle_beta 90.00
_cell_angle_gamma 90.00
_symmetry_space_group_name_H-M 'I 4/m'
_symmetry_Int_Tables_number 87
_symmetry_space_group_name_Hall '-I 4'
loop_
_atom_site_label
_atom_site_fract_x
_atom_site_fract_y
_atom_site_fract_z
Ba1 0.000 0.000 0.000
Si1 0.170 0.275 0.500
Pd1 0.079 0.655 0.500

***

Of them, #b has the lowest stability.

***

#a
# BaSmPd2, relaxed, DFT PBE-GGA
# - Volume: 26.3 Å³ per atom
# - M_tot: 0.0 μB/f.u.
data_BaSmPd2
_chemical_formula_sum 'Ba1 Sm1 Pd2'
_cell_length_a 3.710
_cell_length_b 3.710
_cell_length_c 7.642
_cell_angle_alpha 90.00
_cell_angle_beta 90.00
_cell_angle_gamma 90.00
_symmetry_space_group_name_H-M 'P 4/m m m'
_symmetry_Int_Tables_number 123
_symmetry_space_group_name_Hall '-P 4 2'
loop_
_atom_site_label
_atom_site_fract_x
_atom_site_fract_y
_atom_site_fract_z
Ba1 0.000 0.000 0.000
Sm1 0.000 0.000 0.500
Pd1 0.500 0.500 0.301

***

#b
# BaSmPd2, relaxed, DFT PBE-GGA
# - Volume: 25.9 Å³ per atom
# - M_tot: 0.0 μB/f.u.
data_BaSmPd2
_chemical_formula_sum 'Ba1 Sm1 Pd2'
_cell_length_a 5.308
_cell_length_b 5.308
_cell_length_c 3.673
_cell_angle_alpha 90.00
_cell_angle_beta 90.00
_cell_angle_gamma 90.00
_symmetry_space_group_name_H-M 'P 4/m m m'
_symmetry_Int_Tables_number 123
_symmetry_space_group_name_Hall '-P 4 2'
loop_
_atom_site_label
_atom_site_fract_x
_atom_site_fract_y
_atom_site_fract_z
Ba1 0.000 0.000 0.000
Sm1 0.500 0.500 0.000
Pd1 0.000 0.500 0.500

***

Of them, #b has the lowest stability.

***

#a
# BaSmPd2, relaxed, DFT PBE-GGA
# - Volume: 29.8 Å³ per atom
# - M_tot: 0.0 μB/f.u.
data_BaSmPd2
_chemical_formula_sum 'Ba3 Sm3 Pd6'
_cell_length_a 4.2434
_cell_length_b 4.2434
_cell_length_c 22.9230
_cell_angle_alpha 90.00
_cell_angle_beta 90.00
_cell_angle_gamma 120.00
_symmetry_space_group_name_H-M 'R 3 m'
_symmetry_Int_Tables_number 160
_symmetry_space_group_name_Hall 'R 3 -2"'
loop_
_atom_site_label
_atom_site_fract_x
_atom_site_fract_y
_atom_site_fract_z
Ba1 0.0000 0.0000 0.0000
Sm1 0.0000 0.0000 0.1719
Pd1 0.0000 0.0000 0.5752
Pd2 0.0000 0.0000 0.7672

***

#b
# BaSmPd2, relaxed, DFT PBE-GGA
# - Volume: 29.2 Å³ per atom
# - M_tot: 0.0 μB/f.u.
data_BaSmPd2
_chemical_formula_sum 'Ba3 Sm3 Pd6'
_cell_length_a 4.8317
_cell_length_b 4.8317
_cell_length_c 17.3505
_cell_angle_alpha 90.00
_cell_angle_beta 90.00
_cell_angle_gamma 120.00
_symmetry_space_group_name_H-M 'R -3 m'
_symmetry_Int_Tables_number 166
_symmetry_space_group_name_Hall '-R 3 2"'
loop_
_atom_site_label
_atom_site_fract_x
_atom_site_fract_y
_atom_site_fract_z
Ba1 0.0000 0.0000 0.0000
Sm1 0.0000 0.0000 0.5000
Pd1 0.0000 0.0000 0.2135

***

Of them, #a has the lowest stability.

***

#a
# BaSnPd4, relaxed, DFT PBE-GGA
# - Volume: 27.2 Å³ per atom
# - M_tot: 0.0 μB/f.u.
data_BaSnPd4
_chemical_formula_sum 'Ba2 Sn2 Pd8'
_cell_length_a 6.552
_cell_length_b 6.552
_cell_length_c 7.595
_cell_angle_alpha 90.00
_cell_angle_beta 90.00
_cell_angle_gamma 90.00
_symmetry_space_group_name_H-M 'P 4/m b m'
_symmetry_Int_Tables_number 127
_symmetry_space_group_name_Hall '-P 4 2ab'
loop_
_atom_site_label
_atom_site_fract_x
_atom_site_fract_y
_atom_site_fract_z
Ba1 0.000 0.500 0.000
Sn1 0.000 0.000 0.500
Pd1 0.000 0.000 0.169
Pd2 0.140 0.360 0.500

***

#b
# BaSnPd4, relaxed, DFT PBE-GGA
# - Volume: 20.4 Å³ per atom
# - M_tot: 0.0 μB/f.u.
data_BaSnPd4
_chemical_formula_sum 'Ba4 Sn4 Pd16'
_cell_length_a 7.887
_cell_length_b 7.887
_cell_length_c 7.887
_cell_angle_alpha 90.00
_cell_angle_beta 90.00
_cell_angle_gamma 90.00
_symmetry_space_group_name_H-M 'F -4 3 m'
_symmetry_Int_Tables_number 216
_symmetry_space_group_name_Hall 'F -4 2 3'
loop_
_atom_site_label
_atom_site_fract_x
_atom_site_fract_y
_atom_site_fract_z
Ba1 0.000 0.000 0.000
Sn1 0.250 0.250 0.250
Pd1 0.124 0.124 0.624

***

Of them, #a has the lowest stability.

***

#a
# BaSn3Pd2, relaxed, DFT PBE-GGA
# - Volume: 25.1 Å³ per atom
# - M_tot: 0.0 μB/f.u.
data_BaSn3Pd2
_chemical_formula_sum 'Ba6 Sn18 Pd12'
_cell_length_a 18.103
_cell_length_b 4.665
_cell_length_c 11.208
_cell_angle_alpha 90.00
_cell_angle_beta 107.50
_cell_angle_gamma 90.00
_symmetry_space_group_name_H-M 'C 1 2/m 1'
_symmetry_Int_Tables_number 12
loop_
_symmetry_equiv_pos_as_xyz
'x,y,z'
'-x,-y,-z'
'-x,y,-z'
'x,-y,z'
'x+1/2,y+1/2,z'
'-x+1/2,-y+1/2,-z'
'-x+1/2,y+1/2,-z'
'x+1/2,-y+1/2,z'
loop_
_atom_site_label
_atom_site_fract_x
_atom_site_fract_y
_atom_site_fract_z
Ba1 0.000 0.000 0.000
Ba2 0.158 0.000 0.703
Sn1 0.000 0.500 0.500
Sn2 0.044 0.000 0.350
Sn3 0.128 0.500 0.191
Sn4 0.169 0.500 0.953
Sn5 0.216 0.000 0.379
Pd1 0.019 0.500 0.772
Pd2 0.143 0.500 0.444
Pd3 0.196 0.000 0.115

***

#b
# BaSn3Pd2, relaxed, DFT PBE-GGA
# - Volume: 25.5 Å³ per atom
# - M_tot: 0.0 μB/f.u.
data_BaSn3Pd2
_chemical_formula_sum 'Ba4 Sn12 Pd8'
_cell_length_a 11.741
_cell_length_b 8.812
_cell_length_c 5.921
_cell_angle_alpha 90.00
_cell_angle_beta 90.00
_cell_angle_gamma 90.00
_symmetry_space_group_name_H-M 'C m c m'
_symmetry_Int_Tables_number 63
_symmetry_space_group_name_Hall '-C 2c 2'
loop_
_atom_site_label
_atom_site_fract_x
_atom_site_fract_y
_atom_site_fract_z
Ba1 0.000 0.159 0.250
Sn1 0.000 0.437 0.750
Sn2 0.191 0.214 0.750
Pd1 0.199 0.500 0.000

***

Of them, #b has the lowest stability.

***

#a
# BaSrPd2, relaxed, DFT PBE-GGA
# - Volume: 32.3 Å³ per atom
# - M_tot: 0.0 μB/f.u.
data_BaSrPd2
_chemical_formula_sum 'Ba3 Sr3 Pd6'
_cell_length_a 4.4007
_cell_length_b 4.4007
_cell_length_c 23.1192
_cell_angle_alpha 90.00
_cell_angle_beta 90.00
_cell_angle_gamma 120.00
_symmetry_space_group_name_H-M 'R 3 m'
_symmetry_Int_Tables_number 160
_symmetry_space_group_name_Hall 'R 3 -2"'
loop_
_atom_site_label
_atom_site_fract_x
_atom_site_fract_y
_atom_site_fract_z
Ba1 0.0000 0.0000 0.0000
Sr1 0.0000 0.0000 0.1705
Pd1 0.0000 0.0000 0.5837
Pd2 0.0000 0.0000 0.7538

***

#b
# BaSrPd2, relaxed, DFT PBE-GGA
# - Volume: 29.6 Å³ per atom
# - M_tot: 0.0 μB/f.u.
data_BaSrPd2
_chemical_formula_sum 'Ba2 Sr2 Pd4'
_cell_length_a 4.618
_cell_length_b 6.239
_cell_length_c 8.228
_cell_angle_alpha 90.00
_cell_angle_beta 90.00
_cell_angle_gamma 90.00
_symmetry_space_group_name_H-M 'P m c 21'
_symmetry_Int_Tables_number 26
loop_
_symmetry_equiv_pos_as_xyz
'x,y,z'
'-x,-y,z+1/2'
'-x,y,z'
'x,-y,z+1/2'
loop_
_atom_site_label
_atom_site_fract_x
_atom_site_fract_y
_atom_site_fract_z
Ba1 0.000 0.119 0.000
Sr1 0.500 0.383 0.635
Pd1 0.000 0.386 0.355
Pd2 0.500 0.138 0.286

***

Of them, #a has the lowest stability.